Record 1
# InAgPdAu | Alexandria via LeMat-Bulk | GGA-PBE | relaxed
# Energy above the lowest structure with this stoichiometry: 0.0 meV per atom
# D(E_F): 0.95 states/eV/f.u.
# Formation energy from the elements: -0.247 eV per atom
# Calculated total energy: -30.09 eV/cell
data_InAgPdAu
_chemical_formula_sum 'In2 Ag2 Pd2 Au2'
_cell_length_a 4.2566
_cell_length_b 4.2566
_cell_length_c 7.9032
_cell_angle_alpha 90.00
_cell_angle_beta 90.00
_cell_angle_gamma 90.00
_space_group_name_H-M_alt 'I -4 m 2'
_space_group_IT_number 119
_space_group_name_Hall 'I -4 -2'
loop_
_atom_site_label
_atom_site_fract_x
_atom_site_fract_y
_atom_site_fract_z
In1 0.0000 0.0000 0.0000
Ag1 0.0000 0.0000 0.5000
Pd1 0.0000 0.5000 0.2500
Au1 0.0000 0.5000 0.7500

=====

Record 2
# U3PSe3 | Alexandria via LeMat-Bulk | GGA-PBE | relaxed
# Energy above the lowest structure with this stoichiometry: 0.0 meV per atom
# D(E_F): 11.07 states/eV/f.u.
# ΔE_f (raw): -1028 meV/atom
# Calculated total energy: -227.69 eV/cell
data_U3PSe3
_chemical_formula_sum 'U12 P4 Se12'
_cell_length_a 7.9356
_cell_length_b 8.0525
_cell_length_c 11.4007
_cell_angle_alpha 90.00
_cell_angle_beta 90.00
_cell_angle_gamma 90.00
_space_group_name_H-M_alt 'I m m a'
_space_group_IT_number 74
_space_group_name_Hall '-I 2b 2'
loop_
_atom_site_label
_atom_site_fract_x
_atom_site_fract_y
_atom_site_fract_z
U1 0.0000 0.2500 0.2490
U2 0.2382 0.0000 0.0000
P1 0.0000 0.2500 0.0039
Se1 0.0000 0.2500 0.5061
Se2 0.2500 0.0098 0.7500

=====

Record 3
# ScTi2Pb | Alexandria via LeMat-Bulk | GGA-PBE | relaxed
# D(E_F): 2.06 states/eV/f.u.
# Formation energy from the elements: -0.245 eV per atom
# Calculated total energy: -53.62 eV/cell
data_ScTi2Pb
_chemical_formula_sum 'Sc2 Ti4 Pb2'
_cell_length_a 4.1280
_cell_length_b 4.1259
_cell_length_c 10.1519
_cell_angle_alpha 90.00
_cell_angle_beta 101.72
_cell_angle_gamma 90.00
_space_group_name_H-M_alt 'P 1 21/m 1'
_space_group_IT_number 11
loop_
_space_group_symop_operation_xyz
'x,y,z'
'-x,-y,-z'
'-x,y+1/2,-z'
'x,-y+1/2,z'
loop_
_atom_site_label
_atom_site_fract_x
_atom_site_fract_y
_atom_site_fract_z
Sc1 0.1870 0.2500 0.3748
Ti1 0.0491 0.7500 0.0983
Ti2 0.4521 0.7500 0.9040
Pb1 0.3400 0.2500 0.6794

=====

Record 4
# TbBi2P2Pd7 | Alexandria via LeMat-Bulk | GGA-PBE | relaxed
# D(E_F): 4.29 states/eV/f.u.
# Formation energy from the elements: -0.507 eV per atom
# Calculated total energy: -131.30 eV/cell
data_TbBi2P2Pd7
_chemical_formula_sum 'Tb2 Bi4 P4 Pd14'
_cell_length_a 5.9909
_cell_length_b 6.8646
_cell_length_c 11.4588
_cell_angle_alpha 90.00
_cell_angle_beta 93.74
_cell_angle_gamma 90.00
_space_group_name_H-M_alt 'C 1 2/m 1'
_space_group_IT_number 12
loop_
_space_group_symop_operation_xyz
'x,y,z'
'-x,-y,-z'
'-x,y,-z'
'x,-y,z'
'x+1/2,y+1/2,z'
'-x+1/2,-y+1/2,-z'
'-x+1/2,y+1/2,-z'
'x+1/2,-y+1/2,z'
loop_
_atom_site_label
_atom_site_fract_x
_atom_site_fract_y
_atom_site_fract_z
Tb1 0.0000 0.0000 0.0000
Bi1 0.1482 0.0000 0.3825
P1 0.1872 0.5000 0.1855
Pd1 0.0000 0.5000 0.0000
Pd2 0.1308 0.2948 0.7953
Pd3 0.1351 0.5000 0.3909

=====

Record 5
# Nd2Sm2Tl5 | Alexandria via LeMat-Bulk | GGA-PBE | relaxed
# D(E_F): 8.05 states/eV/f.u.
# Formation energy from the elements: -0.191 eV per atom
# Calculated total energy: -130.10 eV/cell
data_Nd2Sm2Tl5
_chemical_formula_sum 'Nd8 Sm8 Tl20'
_cell_length_a 15.2800
_cell_length_b 7.3471
_cell_length_c 10.0179
_cell_angle_alpha 90.00
_cell_angle_beta 90.00
_cell_angle_gamma 90.00
_space_group_name_H-M_alt 'I m a 2'
_space_group_IT_number 46
loop_
_space_group_symop_operation_xyz
'x,y,z'
'-x,-y,z'
'-x+1/2,y,z'
'x+1/2,-y,z'
'x+1/2,y+1/2,z+1/2'
'-x+1/2,-y+1/2,z+1/2'
'-x,y+1/2,z+1/2'
'x,-y+1/2,z+1/2'
loop_
_atom_site_label
_atom_site_fract_x
_atom_site_fract_y
_atom_site_fract_z
Nd1 0.1283 0.0352 0.0000
Sm1 0.0000 0.0000 0.4347
Sm2 0.2500 0.5171 0.0591
Tl1 0.0457 0.1920 0.7148
Tl2 0.1513 0.7144 0.7749
Tl3 0.2500 0.1978 0.2797

=====

Record 6
# Pa2ZnPt | Alexandria via LeMat-Bulk | GGA-PBE | relaxed
# Energy above the lowest structure with this stoichiometry: 90.8 meV per atom
# D(E_F): 8.04 states/eV/f.u.
# Formation energy from the elements: -0.345 eV per atom
# Calculated total energy: -27.68 eV/cell
data_Pa2ZnPt
_chemical_formula_sum 'Pa2 Zn1 Pt1'
_cell_length_a 3.7187
_cell_length_b 3.7187
_cell_length_c 6.2101
_cell_angle_alpha 90.00
_cell_angle_beta 90.00
_cell_angle_gamma 90.00
_space_group_name_H-M_alt 'P 4/m m m'
_space_group_IT_number 123
_space_group_name_Hall '-P 4 2'
loop_
_atom_site_label
_atom_site_fract_x
_atom_site_fract_y
_atom_site_fract_z
Pa1 0.0000 0.0000 0.2446
Zn1 0.5000 0.5000 0.5000
Pt1 0.5000 0.5000 0.0000

=====

Record 7
# Cu3TeH | Alexandria via LeMat-Bulk | GGA-PBE | relaxed
# D(E_F): 0.32 states/eV/f.u.
# Calculated total energy: -17.53 eV/cell
data_Cu3TeH
_chemical_formula_sum 'Cu3 Te1 H1'
_cell_length_a 4.0386
_cell_length_b 4.0386
_cell_length_c 4.0386
_cell_angle_alpha 90.00
_cell_angle_beta 90.00
_cell_angle_gamma 90.00
_space_group_name_H-M_alt 'P m -3 m'
_space_group_IT_number 221
_space_group_name_Hall '-P 4 2 3'
loop_
_atom_site_label
_atom_site_fract_x
_atom_site_fract_y
_atom_site_fract_z
Cu1 0.0000 0.0000 0.5000
Te1 0.5000 0.5000 0.5000
H1 0.0000 0.0000 0.0000

=====

Record 8
# Pr12Sm6Cd | Alexandria via LeMat-Bulk | GGA-PBE | relaxed
# D(E_F): 28.92 states/eV/f.u.
# Formation energy from the elements: 0.105 eV per atom
# Calculated total energy: -253.74 eV/cell
data_Pr12Sm6Cd
_chemical_formula_sum 'Pr36 Sm18 Cd3'
_cell_length_a 13.3791
_cell_length_b 13.3791
_cell_length_c 13.1351
_cell_angle_alpha 90.00
_cell_angle_beta 90.00
_cell_angle_gamma 120.00
_space_group_name_H-M_alt 'R -3'
_space_group_IT_number 148
_space_group_name_Hall '-R 3'
loop_
_atom_site_label
_atom_site_fract_x
_atom_site_fract_y
_atom_site_fract_z
Pr1 0.0007 0.2602 0.0003
Pr2 0.0602 0.5304 0.1112
Sm1 0.0892 0.1800 0.7741
Cd1 0.0000 0.0000 0.0000

=====

Record 9
# La2NdSb3Rh4 | Alexandria via LeMat-Bulk | GGA-PBE | relaxed
# D(E_F): 8.97 states/eV/f.u.
# ΔE_f (raw): -867 meV/atom
# Calculated total energy: -65.06 eV/cell
data_La2NdSb3Rh4
_chemical_formula_sum 'La2 Nd1 Sb3 Rh4'
_cell_length_a 4.4891
_cell_length_b 4.4891
_cell_length_c 11.4354
_cell_angle_alpha 90.00
_cell_angle_beta 90.00
_cell_angle_gamma 90.00
_space_group_name_H-M_alt 'P -4 m 2'
_space_group_IT_number 115
loop_
_space_group_symop_operation_xyz
'x,y,z'
'y,-x,-z'
'-x,-y,z'
'-y,x,-z'
'-x,y,z'
'-y,-x,-z'
'x,-y,z'
'y,x,-z'
loop_
_atom_site_label
_atom_site_fract_x
_atom_site_fract_y
_atom_site_fract_z
La1 0.0000 0.5000 0.2258
Nd1 0.0000 0.0000 0.5000
Sb1 0.0000 0.5000 0.8739
Sb2 0.5000 0.5000 0.5000
Rh1 0.0000 0.0000 0.0000
Rh2 0.0000 0.5000 0.6486
Rh3 0.5000 0.5000 0.0000

=====

Record 10
# YZrZn3 | Alexandria via LeMat-Bulk | GGA-PBE | relaxed
# Energy above the lowest structure with this stoichiometry: 828.9 meV per atom
# D(E_F): 6.41 states/eV/f.u.
# Formation energy from the elements: 0.524 eV per atom
# Calculated total energy: -16.21 eV/cell
data_YZrZn3
_chemical_formula_sum 'Y1 Zr1 Zn3'
_cell_length_a 5.0430
_cell_length_b 5.0430
_cell_length_c 5.0430
_cell_angle_alpha 90.00
_cell_angle_beta 90.00
_cell_angle_gamma 90.00
_space_group_name_H-M_alt 'P m -3 m'
_space_group_IT_number 221
_space_group_name_Hall '-P 4 2 3'
loop_
_atom_site_label
_atom_site_fract_x
_atom_site_fract_y
_atom_site_fract_z
Y1 0.0000 0.0000 0.0000
Zr1 0.5000 0.5000 0.5000
Zn1 0.0000 0.5000 0.5000

=====

Record 11
# AcLuMg2 | Alexandria via LeMat-Bulk | GGA-PBE | relaxed
# D(E_F): 4.35 states/eV/f.u.
# Formation energy from the elements: 0.102 eV per atom
# Calculated total energy: -34.23 eV/cell
data_AcLuMg2
_chemical_formula_sum 'Ac3 Lu3 Mg6'
_cell_length_a 3.6280
_cell_length_b 3.6280
_cell_length_c 33.1183
_cell_angle_alpha 90.00
_cell_angle_beta 90.00
_cell_angle_gamma 120.00
_space_group_name_H-M_alt 'R -3 m'
_space_group_IT_number 166
_space_group_name_Hall '-R 3 2"'
loop_
_atom_site_label
_atom_site_fract_x
_atom_site_fract_y
_atom_site_fract_z
Ac1 0.0000 0.0000 0.0000
Lu1 0.0000 0.0000 0.5000
Mg1 0.0000 0.0000 0.2440

=====

Record 12
# PmSmGaGe | Alexandria via LeMat-Bulk | GGA-PBE | relaxed
# Energy above the lowest structure with this stoichiometry: 0.0 meV per atom
# D(E_F): 3.60 states/eV/f.u.
# Formation energy from the elements: -0.774 eV per atom
# Calculated total energy: -40.42 eV/cell
data_PmSmGaGe
_chemical_formula_sum 'Pm2 Sm2 Ga2 Ge2'
_cell_length_a 4.0838
_cell_length_b 4.4321
_cell_length_c 11.1129
_cell_angle_alpha 90.00
_cell_angle_beta 90.00
_cell_angle_gamma 90.00
_space_group_name_H-M_alt 'A m m 2'
_space_group_IT_number 38
loop_
_space_group_symop_operation_xyz
'x,y,z'
'-x,-y,z'
'-x,y,z'
'x,-y,z'
'x,y+1/2,z+1/2'
'-x,-y+1/2,z+1/2'
'-x,y+1/2,z+1/2'
'x,-y+1/2,z+1/2'
loop_
_atom_site_label
_atom_site_fract_x
_atom_site_fract_y
_atom_site_fract_z
Pm1 0.0000 0.0000 0.0000
Sm1 0.5000 0.0000 0.7197
Ga1 0.5000 0.0000 0.4355
Ge1 0.0000 0.0000 0.2831